Entry 1:
Entry from Alexandria via LeMat-Bulk: a geometry-optimized Nb3AsAu structure (PBE).

abc: 4.7349 4.7349 4.7349
angles: 90.00 90.00 90.00
Atoms (fractional coordinates):
Nb (0.0000, 0.0000, 0.5000)
Nb (0.0000, 0.5000, 0.0000)
Nb (0.5000, 0.0000, 0.0000)
As (0.0000, 0.0000, 0.0000)
Au (0.5000, 0.5000, 0.5000)

calculated volume = 106.2 Å³/f.u.
E_form = 0.653 eV/atom
crystal system = cubic
space group = Pm-3m, No. 221
raw total energy = -34.873 eV for the cell shown
size of the total moment = 0.0 μB per cell
distance to the lowest polymorph of the same formula = 0 meV/atom

Entry 2:
Entry from Alexandria via LeMat-Bulk: a geometry-optimized Pr6Sm3Ho2Er structure (PBE).

abc: 6.3339 6.3339 11.9686
angles: 95.05 95.05 120.01
Atoms (fractional coordinates):
Pr (0.0828, 0.4160, 0.2469)
Pr (0.2504, 0.2504, 0.7530)
Pr (0.4160, 0.0828, 0.2469)
Pr (0.5840, 0.9172, 0.7531)
Pr (0.7496, 0.7496, 0.2470)
Pr (0.9172, 0.5840, 0.7531)
Sm (0.1667, 0.8333, 0.5000)
Sm (0.5000, 0.5000, 0.5000)
Sm (0.8333, 0.1667, 0.5000)
Ho (0.3334, 0.6666, 0.0000)
Ho (0.6666, 0.3334, 0.0000)
Er (0.0000, 0.0000, 0.0000)

calculated volume = 409.3 Å³/f.u.
E_form = 0.013 eV/atom
crystal system = monoclinic
space group = C2/m, No. 12
raw total energy = -56.398 eV for the cell shown
size of the total moment = 0.0 μB per cell

Entry 3:
Entry from Alexandria via LeMat-Bulk: a geometry-optimized CuBAs3 structure (PBE).

abc: 4.6864 4.6864 4.6864
angles: 90.00 90.00 90.00
Atoms (fractional coordinates):
Cu (0.0000, 0.0000, 0.0000)
B (0.5000, 0.5000, 0.5000)
As (0.0000, 0.0000, 0.5000)
As (0.0000, 0.5000, 0.0000)
As (0.5000, 0.0000, 0.0000)

calculated volume = 102.9 Å³/f.u.
E_form = 1.446 eV/atom
crystal system = cubic
space group = Pm-3m, No. 221
raw total energy = -17.491 eV for the cell shown
size of the total moment = 0.0 μB per cell
distance to the lowest polymorph of the same formula = 561 meV/atom

Entry 4:
Entry from Alexandria via LeMat-Bulk: a geometry-optimized ZrTa2Cl structure (PBE).

abc: 2.9994 2.9994 9.1719
angles: 90.00 90.00 112.74
Atoms (fractional coordinates):
Zr (0.0000, 0.0000, 0.0000)
Ta (0.5000, 0.5000, 0.2640)
Ta (0.5000, 0.5000, 0.7360)
Cl (0.0000, 0.0000, 0.5000)

calculated volume = 76.1 Å³/f.u.
crystal system = orthorhombic
space group = Cmmm, No. 65
raw total energy = -33.333 eV for the cell shown
size of the total moment = 0.0 μB per cell
distance to the lowest polymorph of the same formula = 392 meV/atom

Which of these has the lowest raw total energy? Pr6Sm3Ho2Er

Look up the raw total energy of the fourth one. -33.333 eV for the cell shown

Look up the raw total energy of the second one. -56.398 eV for the cell shown